No. 1
## Sm4GeTe2 (PBE)

Data for crystalline Sm4GeTe2 at its relaxed geometry.

Structure (extended XYZ):
```
7
Lattice="2.1314 1.2306 14.1118 -2.1314 1.2306 14.1118 0.0000 -2.4611 14.1118" Properties=species:S:1:pos:R:3 pbc="T T T"
Sm 0.0000 0.0000 5.4453
Sm 0.0000 0.0000 15.5669
Sm 0.0000 0.0000 26.7684
Sm 0.0000 0.0000 36.8900
Ge 0.0000 0.0000 21.1677
Te 0.0000 0.0000 10.7082
Te 0.0000 0.0000 31.6271
```

Properties
* raw formation energy: -1.0002 eV/atom
* E_tot: -5.254 eV per atom
* magnetization: 0.16 μB/atom
* SG: R-3m, No. 166

No. 2
## Sm4GeTe (PBE)

Data for crystalline Sm4GeTe at its relaxed geometry.

Structure (extended XYZ):
```
12
Lattice="2.7315 -11.0024 0.0000 2.7315 11.0024 0.0000 0.0000 0.0000 6.3018" Properties=species:S:1:pos:R:3 pbc="T T T"
Sm 2.7315 9.4376 4.7263
Sm 2.7315 6.3072 3.1750
Sm 2.7315 6.3072 6.2777
Sm 2.7315 2.9002 4.7263
Sm 2.7315 -2.9002 1.5754
Sm 2.7315 -6.3072 0.0241
Sm 2.7315 -6.3072 3.1268
Sm 2.7315 -9.4376 1.5754
Ge 2.7315 3.4290 1.5754
Ge 2.7315 -3.4290 4.7263
Te 2.7315 9.4635 1.5754
Te 2.7315 -9.4635 4.7263
```

Properties
* raw formation energy: -0.5718 eV/atom
* E_tot: -5.011 eV per atom
* magnetization: 0.00 μB/atom
* SG: Cmcm, No. 63

No. 3
## Sm2GeTe5 (PBE)

Data for crystalline Sm2GeTe5 at its relaxed geometry.

Structure (extended XYZ):
```
16
Lattice="3.1297 -7.5258 0.0000 3.1297 7.5258 0.0000 0.0000 0.0000 13.5660" Properties=species:S:1:pos:R:3 pbc="T T T"
Sm 3.1297 4.9251 7.7839
Sm 3.1297 4.9251 12.5650
Sm 3.1297 -4.9251 1.0009
Sm 3.1297 -4.9251 5.7820
Ge 3.1297 4.5225 3.3915
Ge 3.1297 -4.5225 10.1745
Te 3.1297 7.0409 1.3490
Te 3.1297 7.0409 5.4340
Te 3.1297 3.0142 10.1745
Te 3.1297 2.7499 1.2501
Te 3.1297 2.7499 5.5329
Te 3.1297 -2.7499 8.0330
Te 3.1297 -2.7499 12.3159
Te 3.1297 -3.0142 3.3915
Te 3.1297 -7.0409 8.1320
Te 3.1297 -7.0409 12.2169
```

Properties
* raw formation energy: -0.7923 eV/atom
* E_tot: -4.513 eV per atom
* magnetization: 0.00 μB/atom
* SG: Cmcm, No. 63

No. 4
## SmGeTe (PBE)

Data for crystalline SmGeTe at its relaxed geometry.

Structure (extended XYZ):
```
6
Lattice="-1.9471 1.9471 12.4998 1.9471 -1.9471 12.4998 1.9471 1.9471 -12.4998" Properties=species:S:1:pos:R:3 pbc="T T T"
Sm 0.0000 0.0000 3.5816
Sm 0.0000 0.0000 21.4180
Ge 0.0000 0.0000 6.6834
Ge 0.0000 0.0000 18.3162
Te 0.0000 0.0000 10.3672
Te 0.0000 0.0000 14.6324
```

Properties
* raw formation energy: -0.7378 eV/atom
* E_tot: -4.897 eV per atom
* magnetization: 0.00 μB/atom
* SG: I4/mmm, No. 139

No. 5
## Sm6GeTe3 (PBE)

Data for crystalline Sm6GeTe3 at its relaxed geometry.

Structure (extended XYZ):
```
20
Lattice="12.3523 0.0000 0.0000 0.0000 4.1662 0.0000 -3.2177 0.0000 12.2042" Properties=species:S:1:pos:R:3 pbc="T T T"
Sm -1.0056 1.0415 4.3937
Sm -1.8283 1.0415 10.8937
Sm 2.3379 3.1246 3.6340
Sm 1.1478 3.1246 9.3198
Sm 3.1156 1.0415 6.7022
Sm 5.1527 3.1246 1.6549
Sm 3.9820 1.0415 10.5492
Sm 6.0191 3.1246 5.5020
Sm 7.9869 1.0415 2.8844
Sm 6.7968 1.0415 8.5701
Sm 10.9630 3.1246 1.3105
Sm 10.1403 3.1246 7.8105
Ge 4.5943 1.0415 3.8624
Ge 4.5403 3.1246 8.3418
Te 0.8740 1.0415 1.8160
Te 0.5985 3.1246 6.2175
Te 1.1422 1.0415 11.6703
Te 7.9925 3.1246 0.5339
Te 8.5361 1.0415 5.9867
Te 8.2607 3.1246 10.3882
```

Properties
* raw formation energy: -0.9515 eV/atom
* E_tot: -5.187 eV per atom
* magnetization: 0.02 μB/atom
* SG: P2_1/m, No. 11

No. 6
## Sm3GeTe (PBE)

Data for crystalline Sm3GeTe at its relaxed geometry.

Structure (extended XYZ):
```
10
Lattice="8.3416 0.0000 0.0000 0.0000 4.2790 0.0000 -1.0055 0.0000 8.6927" Properties=species:S:1:pos:R:3 pbc="T T T"
Sm 0.2170 1.0697 2.7300
Sm 1.7014 1.0697 8.3160
Sm 2.6385 3.2092 5.3950
Sm 4.6976 1.0697 3.2977
Sm 5.6347 3.2092 0.3767
Sm 7.1191 3.2092 5.9626
Ge 0.7228 1.0697 5.5907
Ge 6.6133 3.2092 3.1020
Te 2.6345 3.2092 2.0373
Te 4.7016 1.0697 6.6554
```

Properties
* raw formation energy: -0.8550 eV/atom
* E_tot: -5.238 eV per atom
* magnetization: 0.00 μB/atom
* SG: P2_1/m, No. 11

No. 7
## Sm2GeTe (PBE)

Data for crystalline Sm2GeTe at its relaxed geometry.

Structure (extended XYZ):
```
4
Lattice="2.1654 1.2502 7.2329 -2.1654 1.2502 7.2329 0.0000 -2.5004 7.2329" Properties=species:S:1:pos:R:3 pbc="T T T"
Sm 0.0000 0.0000 5.2326
Sm 0.0000 0.0000 16.4662
Ge 0.0000 0.0000 10.8494
Te 0.0000 0.0000 0.0000
```

Properties
* raw formation energy: -1.2131 eV/atom
* E_tot: -5.512 eV per atom
* energy above the most stable polymorph in this dataset: 0 meV per atom
* magnetization: 0.00 μB/atom
* SG: R-3m, No. 166

No. 8
## SmGeTe4 (PBE)

Data for crystalline SmGeTe4 at its relaxed geometry.

Structure (extended XYZ):
```
12
Lattice="6.3978 0.0000 0.0000 0.0000 10.1146 0.0000 -2.8169 0.0000 6.8353" Properties=species:S:1:pos:R:3 pbc="T T T"
Sm 0.2692 2.5286 1.1392
Sm 3.3116 7.5859 5.6961
Ge 0.7032 7.5859 3.0017
Ge 2.8776 2.5286 3.8336
Te -0.4408 5.7105 1.4365
Te -0.4408 9.4614 1.4365
Te 0.3073 2.5286 4.2770
Te 0.1851 7.5859 5.5920
Te 3.3957 2.5286 1.2433
Te 3.2735 7.5859 2.5583
Te 4.0216 0.6532 5.3988
Te 4.0216 4.4041 5.3988
```

Properties
* raw formation energy: -0.4841 eV/atom
* E_tot: -4.135 eV per atom
* magnetization: 0.00 μB/atom
* SG: P2_1/m, No. 11